Rb2NaCdHg2 after structural relaxation. Source: Alexandria, functional PBE-GGA.

Values from the calculation:
calculated formation energy = -1.1 eV/f.u.
total magnetization = 0.000 μB per atom
total energy = -11.7 eV for the cell shown

Lattice parameters (Å, degrees): 10.0871 10.0871 10.0871 138.26 61.92 136.43
Closest atoms and distances in Å follow each position.
Fractional coordinates of all 12 atoms:
Rb  0.1728  0.2460  0.4188  5 Hg 3.71-3.95, 2 Na 3.95, 2 Cd 3.97
Rb  0.3272  0.7460  0.0732  5 Hg 3.71-3.95, 2 Na 3.95, 2 Cd 3.97
Rb  0.6728  0.2540  0.9268  5 Hg 3.71-3.95, 2 Na 3.95, 2 Cd 3.97
Rb  0.8272  0.7540  0.5812  5 Hg 3.71-3.95, 2 Na 3.95, 2 Cd 3.97
Na  0.2500  0.2500  0.0000  4 Hg 3.20
Na  0.7500  0.7500  0.0000  4 Hg 3.20
Cd  0.2500  0.7500  0.5000  4 Hg 3.06
Cd  0.7500  0.2500  0.5000  4 Hg 3.06
Hg  0.1012  0.7330  0.8342  2 Cd 3.06, 2 Na 3.20
Hg  0.3988  0.2330  0.6318  2 Cd 3.06, 2 Na 3.20
Hg  0.6012  0.7670  0.3682  2 Cd 3.06, 2 Na 3.20
Hg  0.8988  0.2670  0.1658  2 Cd 3.06, 2 Na 3.20

=====

CsSrCdF6 after structural relaxation. Source: Alexandria, functional PBE-GGA.

Values from the calculation:
E_form (uncorrected) = -2.65 eV per atom
total magnetization = 0.123 μB per atom
total energy = -77.1 eV for the cell shown

Lattice parameters (Å, degrees): 7.8981 7.8981 7.8981 118.43 117.60 93.48
Closest atoms and distances in Å follow each position.
Fractional coordinates of all 18 atoms:
Cs  0.3961  0.1461  0.2500  9 F 2.99-3.32
Cs  0.6039  0.8539  0.7500  9 F 2.99-3.32
Sr  0.0000  0.0000  0.5000  8 F 2.40-2.66
Sr  0.0000  0.5000  0.0000  8 F 2.40-2.66
Cd  0.0000  0.5000  0.5000  6 F 2.14-2.27
Cd  0.5000  0.5000  0.0000  6 F 2.14-2.27
F  0.1195  0.8695  0.2500  2 Sr 2.40
F  0.1597  0.4097  0.7500  2 Cd 2.27
F  0.1655  0.4514  0.3405  1 Cd 2.14
F  0.1655  0.8250  0.7142  1 Cd 2.14
F  0.3892  0.1750  0.8405  1 Cd 2.14
F  0.3892  0.5486  0.2142  1 Cd 2.14
F  0.6108  0.4514  0.7858  1 Cd 2.14
F  0.6108  0.8250  0.1595  1 Cd 2.14
F  0.8345  0.1750  0.2858  1 Cd 2.14
F  0.8345  0.5486  0.6595  1 Cd 2.14
F  0.8403  0.5903  0.2500  2 Cd 2.27
F  0.8805  0.1305  0.7500  2 Sr 2.40

=====

Nd2GaB2Ir5 after structural relaxation. Source: Alexandria, functional PBE-GGA.

Values from the calculation:
calculated formation energy = -5.5 eV/f.u.
total magnetization = 0.000 μB per atom
total energy = -151.4 eV for the cell shown

Lattice parameters (Å, degrees): 9.7648 9.7648 3.2245 90.00 90.00 90.00
Closest atoms and distances in Å follow each position.
Fractional coordinates of all 20 atoms:
Nd  0.1782  0.3218  0.0000  3 B 2.78-2.97, 10 Ir 2.94-3.05
Nd  0.3218  0.8218  0.0000  3 B 2.78-2.97, 10 Ir 2.94-3.05
Nd  0.6782  0.1782  0.0000  3 B 2.78-2.97, 10 Ir 2.94-3.05
Nd  0.8218  0.6782  0.0000  3 B 2.78-2.97, 10 Ir 2.94-3.05
Ga  0.0000  0.0000  0.0000  8 Ir 2.79
Ga  0.5000  0.5000  0.0000  8 Ir 2.79
B  0.1203  0.6203  0.0000  6 Ir 2.28-2.31
B  0.3797  0.1203  0.0000  6 Ir 2.28-2.31
B  0.6203  0.8797  0.0000  6 Ir 2.28-2.31
B  0.8797  0.3797  0.0000  6 Ir 2.28-2.31
Ir  0.0000  0.5000  0.5000  4 B 2.31
Ir  0.0676  0.7772  0.5000  2 B 2.28
Ir  0.2228  0.0676  0.5000  2 B 2.28
Ir  0.2772  0.5676  0.5000  2 B 2.28
Ir  0.4324  0.2772  0.5000  2 B 2.28
Ir  0.5000  0.0000  0.5000  4 B 2.31
Ir  0.5676  0.7228  0.5000  2 B 2.28
Ir  0.7228  0.4324  0.5000  2 B 2.28
Ir  0.7772  0.9324  0.5000  2 B 2.28
Ir  0.9324  0.2228  0.5000  2 B 2.28

=====

SrZn2Sb after structural relaxation. Source: Alexandria, functional PBE-GGA.

Values from the calculation:
E_form (uncorrected) = -0.30 eV per atom
total magnetization = 0.000 μB per atom
total energy = -9.6 eV for the cell shown

Lattice parameters (Å, degrees): 4.6690 4.7628 5.1337 90.00 90.53 90.00
Closest atoms and distances in Å follow each position.
Fractional coordinates of all 4 atoms:
Sr  0.0000  0.0000  0.0000  8 Zn 3.38-3.72, 4 Sb 3.45-3.49
Zn  0.4414  0.5000  0.7667  1 Zn 2.45
Zn  0.5586  0.5000  0.2333  1 Zn 2.45
Sb  0.5000  0.0000  0.5000  4 Zn 2.76

=====

ZrCoPb after structural relaxation. Source: Alexandria, functional PBE-GGA.

Values from the calculation:
calculated formation energy = 0.1 eV/f.u.
total magnetization = 0.274 μB per atom
total energy = -19.3 eV for the cell shown

Lattice parameters (Å, degrees): 4.5047 4.5047 3.2707 90.00 90.00 120.00
Closest atoms and distances in Å follow each position.
Fractional coordinates of all 3 atoms:
Zr  0.0000  0.0000  0.0000  6 Pb 3.07, 6 Co 3.07, 2 Zr 3.27
Co  0.6667  0.3333  0.5000  3 Pb 2.60
Pb  0.3333  0.6667  0.5000  3 Co 2.60

=====

LiYBr after structural relaxation. Source: Alexandria, functional PBE-GGA.

Values from the calculation:
E_form (uncorrected) = 0.00 eV per atom
total magnetization = 0.247 μB per atom
total energy = -10.1 eV for the cell shown
energy relative to the lowest polymorph listed for this composition = 218.7 kJ/mol of formula units

Lattice parameters (Å, degrees): 5.0052 5.0052 5.0052 60.00 60.00 60.00
Closest atoms and distances in Å follow each position.
Fractional coordinates of all 3 atoms:
Li  0.0000  0.0000  0.0000  4 Y 3.07
Y  0.7500  0.7500  0.7500  4 Li 3.07, 4 Br 3.07
Br  0.5000  0.5000  0.5000  4 Y 3.07

=====

Ac2CuI after structural relaxation. Source: Alexandria, functional PBE-GGA.

Values from the calculation:
E_form (uncorrected) = -0.55 eV per atom
total magnetization = 0.000 μB per atom
total energy = -16.1 eV for the cell shown
energy relative to the lowest polymorph listed for this composition = 0.0 kJ/mol of formula units

Lattice parameters (Å, degrees): 8.7524 8.7524 8.7524 29.70 29.70 29.70
Closest atoms and distances in Å follow each position.
Fractional coordinates of all 4 atoms:
Ac  0.2322  0.2322  0.2322  3 Cu 3.07
Ac  0.7678  0.7678  0.7678  3 Cu 3.07
Cu  0.5000  0.5000  0.5000  6 Ac 3.07
I  0.0000  0.0000  0.0000  6 Ac 3.63

=====

PaFeRh after structural relaxation. Source: Alexandria, functional PBE-GGA.

Values from the calculation:
calculated formation energy = -1.4 eV/f.u.
total magnetization = 0.000 μB per atom
total energy = -53.5 eV for the cell shown
energy relative to the lowest polymorph listed for this composition = 0.0 kJ/mol of formula units

Lattice parameters (Å, degrees): 4.4800 4.4800 5.7844 90.00 90.00 122.06
Closest atoms and distances in Å follow each position.
Fractional coordinates of all 6 atoms:
Pa  0.1727  0.8273  0.7500  2 Fe 2.43
Pa  0.8273  0.1727  0.2500  2 Fe 2.43
Fe  0.1868  0.8132  0.2500  2 Pa 2.43
Fe  0.8132  0.1868  0.7500  2 Pa 2.43
Rh  0.5000  0.5000  0.0000  6 Fe 2.85-2.99, 2 Rh 2.89, 6 Pa 2.94-2.95
Rh  0.5000  0.5000  0.5000  6 Fe 2.85-2.99, 2 Rh 2.89, 6 Pa 2.94-2.95

=====

Tb6Sb2AsSe3 after structural relaxation. Source: Alexandria, functional PBE-GGA.

Values from the calculation:
E_form (uncorrected) = -1.54 eV per atom
total magnetization = 0.000 μB per atom
total energy = -69.6 eV for the cell shown

Lattice parameters (Å, degrees): 9.4237 9.4237 8.4246 102.59 102.59 25.83
Closest atoms and distances in Å follow each position.
Fractional coordinates of all 12 atoms:
Tb  0.0025  0.0025  0.2633  2 As 2.91, 3 Se 2.97-3.05, 1 Sb 3.04
Tb  0.3380  0.3380  0.9090  3 Se 2.90-2.93, 3 Sb 3.03-3.06
Tb  0.3392  0.3392  0.4268  1 As 2.88, 3 Se 2.93-3.06, 2 Sb 3.03
Tb  0.6608  0.6608  0.5732  1 As 2.88, 3 Se 2.93-3.06, 2 Sb 3.03
Tb  0.6620  0.6620  0.0910  3 Se 2.90-2.93, 3 Sb 3.03-3.06
Tb  0.9975  0.9975  0.7367  2 As 2.91, 3 Se 2.97-3.05, 1 Sb 3.04
Sb  0.1672  0.1672  0.8348  6 Tb 3.03-3.06
Sb  0.8328  0.8328  0.1652  6 Tb 3.03-3.06
As  0.5000  0.5000  0.5000  6 Tb 2.88-2.91
Se  0.1685  0.1685  0.3357  6 Tb 2.93-3.06
Se  0.5000  0.5000  0.0000  6 Tb 2.90-3.05
Se  0.8315  0.8315  0.6643  6 Tb 2.93-3.06

=====

K3Li2Hg4 after structural relaxation. Source: Alexandria, functional PBE-GGA.

Values from the calculation:
calculated formation energy = -2.0 eV/f.u.
total magnetization = 0.000 μB per atom
total energy = -10.4 eV for the cell shown

Lattice parameters (Å, degrees): 6.7653 6.7653 9.9629 103.26 103.26 42.57
Closest atoms and distances in Å follow each position.
Fractional coordinates of all 9 atoms:
K  0.0000  0.0000  0.0000  8 Hg 3.64-4.04, 2 Li 4.03
K  0.3773  0.3773  0.6230  6 Hg 3.54-3.68, 1 Li 3.80
K  0.6227  0.6227  0.3770  6 Hg 3.54-3.68, 1 Li 3.80
Li  0.3166  0.3166  0.2125  5 Hg 2.84-2.97
Li  0.6834  0.6834  0.7875  5 Hg 2.84-2.97
Hg  0.0886  0.0886  0.6371  2 Li 2.97, 2 Hg 3.07-3.09
Hg  0.2646  0.2646  0.9152  3 Li 2.84-2.87, 3 Hg 3.05-3.09
Hg  0.7354  0.7354  0.0848  3 Li 2.84-2.87, 3 Hg 3.05-3.09
Hg  0.9114  0.9114  0.3629  2 Li 2.97, 2 Hg 3.07-3.09

=====

TbTmAl after structural relaxation. Source: Alexandria, functional PBE-GGA.

Values from the calculation:
calculated formation energy = -0.1 eV/f.u.
total magnetization = 0.000 μB per atom
total energy = -13.0 eV for the cell shown
energy relative to the lowest polymorph listed for this composition = 62.9 kJ/mol of formula units

Lattice parameters (Å, degrees): 8.1323 8.1323 8.1323 24.39 24.39 24.39
Closest atoms and distances in Å follow each position.
Fractional coordinates of all 3 atoms:
Tb  0.0000  0.0000  0.0000  3 Al 3.21, 6 Tb 3.44, 3 Tm 3.56
Tm  0.7917  0.7917  0.7917  3 Al 3.12, 6 Tm 3.44
Al  0.2268  0.2268  0.2268  3 Tm 3.12, 3 Tb 3.21, 6 Al 3.44

=====

BIr2Ru after structural relaxation. Source: Alexandria, functional PBE-GGA.

Values from the calculation:
calculated formation energy = 1.9 eV/f.u.
total magnetization = 0.000 μB per atom
total energy = -31.8 eV for the cell shown

Lattice parameters (Å, degrees): 4.6730 4.6730 4.6730 49.04 49.04 49.04
Closest atoms and distances in Å follow each position.
Fractional coordinates of all 4 atoms:
B  0.0000  0.0000  0.0000  6 Ir 2.34
Ir  0.2788  0.2788  0.2788  3 B 2.34, 3 Ir 2.61
Ir  0.7212  0.7212  0.7212  3 B 2.34, 3 Ir 2.61
Ru  0.5000  0.5000  0.5000  8 Ir 2.63-2.72

=====

Among the records above, which one has the lowest total energy? Nd2GaB2Ir5